Compound: AlHg2W
Source: Alexandria via LeMat-Bulk
Functional: PBE-GGA
Structure: relaxed

Lattice parameters (Å, degrees): 5.388 5.388 5.388 136.09 136.09 63.85
Fractional coordinates of all 4 atoms:
Hg (0.000, 0.000, 0.000)
Hg (0.250, 0.750, 0.500)
W (0.500, 0.500, 0.000)
Al (0.750, 0.250, 0.500)

Calculated values
Energy of formation, eV per atom: 0.664
Magnetic moment, μB per cell: 0.154



Compound: KInBiIr2
Source: Alexandria via LeMat-Bulk
Functional: PBE-GGA
Structure: relaxed

Lattice parameters (Å, degrees): 4.901 5.627 4.901 90.00 90.00 90.00
Fractional coordinates of all 5 atoms:
K (0.000, 0.000, 0.000)
Ir (0.000, 0.000, 0.500)
Ir (0.500, 0.000, 0.000)
Bi (0.000, 0.500, 0.000)
In (0.500, 0.500, 0.500)

Calculated values
Energy of formation, eV per atom: 2.299
Magnetic moment, μB per cell: 0.000



Compound: NdTmCdRu
Source: Alexandria via LeMat-Bulk
Functional: PBE-GGA
Structure: relaxed

Lattice parameters (Å, degrees): 5.085 5.085 5.085 60.00 60.00 60.00
Fractional coordinates of all 4 atoms:
Ru (0.750, 0.750, 0.750)
Tm (0.000, 0.000, 0.000)
Nd (0.500, 0.500, 0.500)
Cd (0.250, 0.250, 0.250)

Calculated values
Energy of formation, eV per atom: -0.230
Magnetic moment, μB per cell: 0.000